Pr2CuS4: optimized geometry, PBE-GGA.

Calculated values
Density of states at the Fermi level   0.262 states/eV per atom
Mass density   5.21 Mg/m³
Energy   -5.816 eV/atom
Uncorrected formation energy   -145.3 kJ per mole of atoms

a b c (Å): 6.832 5.709 8.110
angles (deg): 90.00 107.22 90.00
Fractional positions:
Cu 0.751 0.250 0.812
Cu 0.249 0.750 0.188
S 0.488 0.988 0.743
S 0.923 0.250 0.101
S 0.488 0.512 0.743
S 0.512 0.012 0.257
S 0.071 0.750 0.388
S 0.512 0.488 0.257
S 0.929 0.250 0.612
S 0.077 0.750 0.899
Pr 0.229 0.250 0.432
Pr 0.241 0.250 0.935
Pr 0.759 0.750 0.065
Pr 0.771 0.750 0.568


Sm11Hg9Rh4: optimized geometry, PBE-GGA.

Calculated values
Density of states at the Fermi level   0.766 states/eV per atom
Mass density   10.68 Mg/m³
Energy   -4.101 eV/atom
Energy relative to the elements   -600 meV/atom

a b c (Å): 3.754 13.181 13.181
angles (deg): 112.66 90.00 90.00
Fractional positions:
Sm 0.000 0.697 0.697
Sm 0.000 0.920 0.584
Sm 0.000 0.372 0.628
Sm 0.000 0.080 0.416
Sm 0.000 0.303 0.303
Sm 0.000 0.416 0.080
Sm 0.000 0.166 0.834
Sm 0.000 0.628 0.372
Sm 0.000 0.834 0.166
Sm 0.000 0.000 0.000
Sm 0.000 0.584 0.920
Hg 0.500 0.631 0.154
Hg 0.500 0.065 0.213
Hg 0.500 0.154 0.631
Hg 0.500 0.213 0.065
Hg 0.500 0.787 0.935
Hg 0.500 0.369 0.846
Hg 0.500 0.935 0.787
Hg 0.500 0.846 0.369
Hg 0.500 0.500 0.500
Rh 0.500 0.251 0.450
Rh 0.500 0.550 0.749
Rh 0.500 0.749 0.550
Rh 0.500 0.450 0.251